# 1
# PBE La3NdBi2, relaxed
data_La3NdBi2
_chemical_formula_sum 'La12 Nd4 Bi8'
_cell_length_a 7.387
_cell_length_b 15.347
_cell_length_c 8.182
_cell_angle_alpha 90.00
_cell_angle_beta 90.00
_cell_angle_gamma 90.00
_space_group_name_H-M_alt 'I b a m'
_space_group_IT_number 72
_space_group_name_Hall '-I 2 2c'
loop_
_atom_site_label
_atom_site_type_symbol
_atom_site_fract_x
_atom_site_fract_y
_atom_site_fract_z
_atom_site_occupancy
La1 La 0.000 0.000 0.250 1
La2 La 0.000 0.300 0.250 1
Nd1 Nd 0.000 0.500 0.000 1
Bi1 Bi 0.164 0.148 0.000 1
# Excess energy over the best structure of this formula in the dataset: 0.209 eV per atom
# Energy relative to the elements: -493 meV per atom
# Spin magnetization: 2.6 μB/cell
# Final energy: -0.1854 hartree per atom
# ρ: 7.01 Mg/m³

---

# 2
# PBE La5NdBi6, relaxed
data_La5NdBi6
_chemical_formula_sum 'La10 Nd2 Bi12'
_cell_length_a 8.124
_cell_length_b 14.069
_cell_length_c 8.123
_cell_angle_alpha 90.00
_cell_angle_beta 109.48
_cell_angle_gamma 90.00
_space_group_name_H-M_alt 'C 1 2/m 1'
_space_group_IT_number 12
loop_
_space_group_symop_operation_xyz
'x,y,z'
'-x,-y,-z'
'-x,y,-z'
'x,-y,z'
'x+1/2,y+1/2,z'
'-x+1/2,-y+1/2,-z'
'-x+1/2,y+1/2,-z'
'x+1/2,-y+1/2,z'
loop_
_atom_site_label
_atom_site_type_symbol
_atom_site_fract_x
_atom_site_fract_y
_atom_site_fract_z
_atom_site_occupancy
La1 La 0.000 0.000 0.000 1
La2 La 0.000 0.167 0.500 1
La3 La 0.000 0.333 0.000 1
Nd1 Nd 0.000 0.500 0.500 1
Bi1 Bi 0.248 0.334 0.748 1
Bi2 Bi 0.248 0.500 0.251 1
# Energy relative to the elements: -1039 meV per atom
# Spin magnetization: 0.0 μB/cell
# Final energy: -0.1996 hartree per atom
# ρ: 7.94 Mg/m³

---

# 3
# PBE La4NdBi3, relaxed
data_La4NdBi3
_chemical_formula_sum 'La8 Nd2 Bi6'
_cell_length_a 4.229
_cell_length_b 9.134
_cell_length_c 14.863
_cell_angle_alpha 90.00
_cell_angle_beta 90.00
_cell_angle_gamma 90.00
_space_group_name_H-M_alt 'I m m m'
_space_group_IT_number 71
_space_group_name_Hall '-I 2 2'
loop_
_atom_site_label
_atom_site_type_symbol
_atom_site_fract_x
_atom_site_fract_y
_atom_site_fract_z
_atom_site_occupancy
La1 La 0.000 0.209 0.132 1
Nd1 Nd 0.000 0.500 0.000 1
Bi1 Bi 0.000 0.000 0.322 1
Bi2 Bi 0.000 0.500 0.500 1
# Energy relative to the elements: -576 meV per atom
# Spin magnetization: 5.0 μB/cell
# Final energy: -0.1871 hartree per atom
# ρ: 7.67 Mg/m³

---

# 4
# PBE La3Nd2Bi3, relaxed
data_La3Nd2Bi3
_chemical_formula_sum 'La6 Nd4 Bi6'
_cell_length_a 9.6477
_cell_length_b 9.6477
_cell_length_c 6.6931
_cell_angle_alpha 90.00
_cell_angle_beta 90.00
_cell_angle_gamma 120.00
_space_group_name_H-M_alt 'P 63/m c m'
_space_group_IT_number 193
_space_group_name_Hall '-P 6c 2'
loop_
_atom_site_label
_atom_site_type_symbol
_atom_site_fract_x
_atom_site_fract_y
_atom_site_fract_z
_atom_site_occupancy
La1 La 0.0000 0.2501 0.2500 1
Nd1 Nd 0.3333 0.6667 0.0000 1
Bi1 Bi 0.0000 0.3884 0.7500 1
# Energy relative to the elements: -808 meV per atom
# Spin magnetization: 1.3 μB/cell
# Final energy: -0.1949 hartree per atom
# ρ: 8.20 Mg/m³

---

# 5
# PBE LaNdBi, relaxed
data_LaNdBi
_chemical_formula_sum 'La1 Nd1 Bi1'
_cell_length_a 5.3684
_cell_length_b 5.3684
_cell_length_c 4.2051
_cell_angle_alpha 90.00
_cell_angle_beta 90.00
_cell_angle_gamma 120.00
_space_group_name_H-M_alt 'P 3 m 1'
_space_group_IT_number 156
loop_
_space_group_symop_operation_xyz
'x,y,z'
'-y,x-y,z'
'-x+y,-x,z'
'-y,-x,z'
'-x+y,y,z'
'x,x-y,z'
loop_
_atom_site_label
_atom_site_type_symbol
_atom_site_fract_x
_atom_site_fract_y
_atom_site_fract_z
_atom_site_occupancy
La1 La 0.0000 0.0000 0.0000 1
Nd1 Nd 0.3333 0.6667 0.5253 1
Bi1 Bi 0.6667 0.3333 0.3524 1
# Energy relative to the elements: -353 meV per atom
# Spin magnetization: 0.0 μB/cell
# Final energy: -0.1793 hartree per atom
# ρ: 7.79 Mg/m³

---

# 6
# PBE LaNd3Bi3, relaxed
data_LaNd3Bi3
_chemical_formula_sum 'La4 Nd12 Bi12'
_cell_length_a 9.746
_cell_length_b 9.746
_cell_length_c 9.746
_cell_angle_alpha 90.00
_cell_angle_beta 90.00
_cell_angle_gamma 90.00
_space_group_name_H-M_alt 'P 21 3'
_space_group_IT_number 198
_space_group_name_Hall 'P 2ac 2ab 3'
loop_
_atom_site_label
_atom_site_type_symbol
_atom_site_fract_x
_atom_site_fract_y
_atom_site_fract_z
_atom_site_occupancy
La1 La 0.071 0.429 0.571 1
Nd1 Nd 0.073 0.573 0.927 1
Nd2 Nd 0.179 0.821 0.321 1
Nd3 Nd 0.180 0.180 0.180 1
Bi1 Bi 0.000 0.253 0.878 1
# Excess energy over the best structure of this formula in the dataset: 0.000 eV per atom
# Energy relative to the elements: -855 meV per atom
# Spin magnetization: 0.0 μB/cell
# Final energy: -0.1935 hartree per atom
# ρ: 8.60 Mg/m³

---

# 7
# PBE LaNd3Bi4, relaxed
data_LaNd3Bi4
_chemical_formula_sum 'La1 Nd3 Bi4'
_cell_length_a 6.551
_cell_length_b 6.551
_cell_length_c 6.551
_cell_angle_alpha 90.00
_cell_angle_beta 90.00
_cell_angle_gamma 90.00
_space_group_name_H-M_alt 'P m -3 m'
_space_group_IT_number 221
_space_group_name_Hall '-P 4 2 3'
loop_
_atom_site_label
_atom_site_type_symbol
_atom_site_fract_x
_atom_site_fract_y
_atom_site_fract_z
_atom_site_occupancy
La1 La 0.000 0.000 0.000 1
Nd1 Nd 0.000 0.500 0.500 1
Bi1 Bi 0.000 0.000 0.500 1
Bi2 Bi 0.500 0.500 0.500 1
# Excess energy over the best structure of this formula in the dataset: 0.000 eV per atom
# Energy relative to the elements: -979 meV per atom
# Spin magnetization: 0.0 μB/cell
# Final energy: -0.1956 hartree per atom
# ρ: 8.31 Mg/m³

---

# 8
# PBE La3NdBi2, relaxed
data_La3NdBi2
_chemical_formula_sum 'La3 Nd1 Bi2'
_cell_length_a 4.737
_cell_length_b 4.737
_cell_length_c 9.213
_cell_angle_alpha 90.00
_cell_angle_beta 90.00
_cell_angle_gamma 90.00
_space_group_name_H-M_alt 'P -4 m 2'
_space_group_IT_number 115
loop_
_space_group_symop_operation_xyz
'x,y,z'
'y,-x,-z'
'-x,-y,z'
'-y,x,-z'
'-x,y,z'
'-y,-x,-z'
'x,-y,z'
'y,x,-z'
loop_
_atom_site_label
_atom_site_type_symbol
_atom_site_fract_x
_atom_site_fract_y
_atom_site_fract_z
_atom_site_occupancy
La1 La 0.000 0.000 0.000 1
La2 La 0.000 0.500 0.645 1
Nd1 Nd 0.500 0.500 0.000 1
Bi1 Bi 0.000 0.500 0.278 1
# Excess energy over the best structure of this formula in the dataset: 0.000 eV per atom
# Energy relative to the elements: -702 meV per atom
# Spin magnetization: 0.0 μB/cell
# Final energy: -0.1931 hartree per atom
# ρ: 7.86 Mg/m³

---

# 9
# PBE La2Nd2Bi3, relaxed
data_La2Nd2Bi3
_chemical_formula_sum 'La8 Nd8 Bi12'
_cell_length_a 9.786
_cell_length_b 9.786
_cell_length_c 9.786
_cell_angle_alpha 90.00
_cell_angle_beta 90.00
_cell_angle_gamma 90.00
_space_group_name_H-M_alt 'I 21 3'
_space_group_IT_number 199
_space_group_name_Hall 'I 2b 2c 3'
loop_
_atom_site_label
_atom_site_type_symbol
_atom_site_fract_x
_atom_site_fract_y
_atom_site_fract_z
_atom_site_occupancy
La1 La 0.073 0.073 0.073 1
Nd1 Nd 0.180 0.320 0.680 1
Bi1 Bi 0.000 0.250 0.381 1
# Energy relative to the elements: -878 meV per atom
# Spin magnetization: 0.0 μB/cell
# Final energy: -0.1952 hartree per atom
# ρ: 8.46 Mg/m³

---

# 10
# PBE LaNdBiO, relaxed
data_LaNdBiO
_chemical_formula_sum 'La6 Nd6 Bi6 O6'
_cell_length_a 4.2635
_cell_length_b 4.2635
_cell_length_c 43.7852
_cell_angle_alpha 90.00
_cell_angle_beta 90.00
_cell_angle_gamma 120.00
_space_group_name_H-M_alt 'R -3 m'
_space_group_IT_number 166
_space_group_name_Hall '-R 3 2"'
loop_
_atom_site_label
_atom_site_type_symbol
_atom_site_fract_x
_atom_site_fract_y
_atom_site_fract_z
_atom_site_occupancy
La1 La 0.0000 0.0000 0.0000 1
La2 La 0.0000 0.0000 0.5000 1
Nd1 Nd 0.0000 0.0000 0.2394 1
Bi1 Bi 0.0000 0.0000 0.3818 1
O1 O 0.0000 0.0000 0.1883 1
# Spin magnetization: 0.0 μB/cell
# Final energy: -0.2331 hartree per atom
# ρ: 7.34 Mg/m³

---

# 11
# PBE LaNdBi2O8, relaxed
data_LaNdBi2O8
_chemical_formula_sum 'La2 Nd2 Bi4 O16'
_cell_length_a 5.555
_cell_length_b 5.555
_cell_length_c 11.682
_cell_angle_alpha 90.00
_cell_angle_beta 90.00
_cell_angle_gamma 90.00
_space_group_name_H-M_alt 'I -4'
_space_group_IT_number 82
loop_
_space_group_symop_operation_xyz
'x,y,z'
'y,-x,-z'
'-x,-y,z'
'-y,x,-z'
'x+1/2,y+1/2,z+1/2'
'y+1/2,-x+1/2,-z+1/2'
'-x+1/2,-y+1/2,z+1/2'
'-y+1/2,x+1/2,-z+1/2'
loop_
_atom_site_label
_atom_site_type_symbol
_atom_site_fract_x
_atom_site_fract_y
_atom_site_fract_z
_atom_site_occupancy
La1 La 0.000 0.000 0.000 1
Nd1 Nd 0.000 0.500 0.250 1
Bi1 Bi 0.000 0.000 0.500 1
Bi2 Bi 0.000 0.500 0.750 1
O1 O 0.189 0.251 0.405 1
O2 O 0.196 0.749 0.843 1
# Spin magnetization: 0.0 μB/cell
# Final energy: -0.2464 hartree per atom
# ρ: 7.64 Mg/m³

---

# 12
# PBE La2NdPaBi4, relaxed
data_La2NdPaBi4
_chemical_formula_sum 'La2 Nd1 Pa1 Bi4'
_cell_length_a 7.994
_cell_length_b 4.607
_cell_length_c 8.026
_cell_angle_alpha 90.00
_cell_angle_beta 109.21
_cell_angle_gamma 90.00
_space_group_name_H-M_alt 'P 1 2/m 1'
_space_group_IT_number 10
loop_
_space_group_symop_operation_xyz
'x,y,z'
'-x,-y,-z'
'-x,y,-z'
'x,-y,z'
loop_
_atom_site_label
_atom_site_type_symbol
_atom_site_fract_x
_atom_site_fract_y
_atom_site_fract_z
_atom_site_occupancy
La1 La 0.000 0.000 0.000 1
La2 La 0.500 0.500 0.000 1
Nd1 Nd 0.000 0.500 0.500 1
Pa1 Pa 0.500 0.000 0.500 1
Bi1 Bi 0.253 0.000 0.741 1
Bi2 Bi 0.258 0.500 0.261 1
# Energy relative to the elements: -777 meV per atom
# Spin magnetization: 1.1 μB/cell
# Final energy: -0.2107 hartree per atom
# ρ: 8.86 Mg/m³

---

# 13
# PBE LaPm2NdBi5, relaxed
data_LaPm2NdBi5
_chemical_formula_sum 'La1 Pm2 Nd1 Bi5'
_cell_length_a 5.556
_cell_length_b 5.556
_cell_length_c 12.226
_cell_angle_alpha 90.00
_cell_angle_beta 90.00
_cell_angle_gamma 90.00
_space_group_name_H-M_alt 'P 4/m m m'
_space_group_IT_number 123
_space_group_name_Hall '-P 4 2'
loop_
_atom_site_label
_atom_site_type_symbol
_atom_site_fract_x
_atom_site_fract_y
_atom_site_fract_z
_atom_site_occupancy
La1 La 0.000 0.000 0.000 1
Pm1 Pm 0.500 0.500 0.270 1
Nd1 Nd 0.000 0.000 0.500 1
Bi1 Bi 0.000 0.000 0.248 1
Bi2 Bi 0.000 0.500 0.500 1
Bi3 Bi 0.500 0.500 0.000 1
# Energy relative to the elements: -57 meV per atom
# Spin magnetization: 0.0 μB/cell
# Final energy: -0.1597 hartree per atom
# ρ: 7.12 Mg/m³

---

# 14
# PBE LaPm2NdBi4, relaxed
data_LaPm2NdBi4
_chemical_formula_sum 'La1 Pm2 Nd1 Bi4'
_cell_length_a 7.996
_cell_length_b 4.624
_cell_length_c 8.001
_cell_angle_alpha 90.00
_cell_angle_beta 109.48
_cell_angle_gamma 90.00
_space_group_name_H-M_alt 'P 1 2/m 1'
_space_group_IT_number 10
loop_
_space_group_symop_operation_xyz
'x,y,z'
'-x,-y,-z'
'-x,y,-z'
'x,-y,z'
loop_
_atom_site_label
_atom_site_type_symbol
_atom_site_fract_x
_atom_site_fract_y
_atom_site_fract_z
_atom_site_occupancy
La1 La 0.000 0.000 0.000 1
Pm1 Pm 0.500 0.000 0.500 1
Pm2 Pm 0.500 0.500 0.000 1
Nd1 Nd 0.000 0.500 0.500 1
Bi1 Bi 0.253 0.000 0.749 1
Bi2 Bi 0.255 0.500 0.253 1
# Energy relative to the elements: -971 meV per atom
# Spin magnetization: 0.0 μB/cell
# Final energy: -0.1952 hartree per atom
# ρ: 8.39 Mg/m³

---

# 15
# PBE La2PmNdBi5, relaxed
data_La2PmNdBi5
_chemical_formula_sum 'La2 Pm1 Nd1 Bi5'
_cell_length_a 5.581
_cell_length_b 5.581
_cell_length_c 12.134
_cell_angle_alpha 90.00
_cell_angle_beta 90.00
_cell_angle_gamma 90.00
_space_group_name_H-M_alt 'P 4/m m m'
_space_group_IT_number 123
_space_group_name_Hall '-P 4 2'
loop_
_atom_site_label
_atom_site_type_symbol
_atom_site_fract_x
_atom_site_fract_y
_atom_site_fract_z
_atom_site_occupancy
La1 La 0.000 0.000 0.223 1
Pm1 Pm 0.500 0.500 0.500 1
Nd1 Nd 0.500 0.500 0.000 1
Bi1 Bi 0.000 0.000 0.500 1
Bi2 Bi 0.000 0.500 0.000 1
Bi3 Bi 0.500 0.500 0.254 1
# Energy relative to the elements: -177 meV per atom
# Spin magnetization: 0.0 μB/cell
# Final energy: -0.1648 hartree per atom
# ρ: 7.08 Mg/m³

---

# 16
# PBE La2PrNdBi4, relaxed
data_La2PrNdBi4
_chemical_formula_sum 'La2 Pr1 Nd1 Bi4'
_cell_length_a 8.078
_cell_length_b 4.669
_cell_length_c 8.081
_cell_angle_alpha 90.00
_cell_angle_beta 109.47
_cell_angle_gamma 90.00
_space_group_name_H-M_alt 'P 1 2/m 1'
_space_group_IT_number 10
loop_
_space_group_symop_operation_xyz
'x,y,z'
'-x,-y,-z'
'-x,y,-z'
'x,-y,z'
loop_
_atom_site_label
_atom_site_type_symbol
_atom_site_fract_x
_atom_site_fract_y
_atom_site_fract_z
_atom_site_occupancy
La1 La 0.000 0.000 0.000 1
La2 La 0.000 0.500 0.500 1
Pr1 Pr 0.500 0.000 0.500 1
Nd1 Nd 0.500 0.500 0.000 1
Bi1 Bi 0.253 0.000 0.752 1
Bi2 Bi 0.253 0.500 0.250 1
# Energy relative to the elements: -1007 meV per atom
# Spin magnetization: 0.0 μB/cell
# Final energy: -0.1974 hartree per atom
# ρ: 8.08 Mg/m³

---

# 17
# PBE LaPrNd2Bi5, relaxed
data_LaPrNd2Bi5
_chemical_formula_sum 'La1 Pr1 Nd2 Bi5'
_cell_length_a 5.591
_cell_length_b 5.591
_cell_length_c 12.258
_cell_angle_alpha 90.00
_cell_angle_beta 90.00
_cell_angle_gamma 90.00
_space_group_name_H-M_alt 'P 4/m m m'
_space_group_IT_number 123
_space_group_name_Hall '-P 4 2'
loop_
_atom_site_label
_atom_site_type_symbol
_atom_site_fract_x
_atom_site_fract_y
_atom_site_fract_z
_atom_site_occupancy
La1 La 0.000 0.000 0.000 1
Pr1 Pr 0.000 0.000 0.500 1
Nd1 Nd 0.500 0.500 0.271 1
Bi1 Bi 0.000 0.000 0.247 1
Bi2 Bi 0.000 0.500 0.500 1
Bi3 Bi 0.500 0.500 0.000 1
# Energy relative to the elements: -61 meV per atom
# Spin magnetization: 0.0 μB/cell
# Final energy: -0.1601 hartree per atom
# ρ: 6.99 Mg/m³

---

# 18
# PBE LaNdPu2Bi4, relaxed
data_LaNdPu2Bi4
_chemical_formula_sum 'La2 Nd2 Pu4 Bi8'
_cell_length_a 6.514
_cell_length_b 6.514
_cell_length_c 13.020
_cell_angle_alpha 90.00
_cell_angle_beta 90.00
_cell_angle_gamma 90.00
_space_group_name_H-M_alt 'I 4/m m m'
_space_group_IT_number 139
_space_group_name_Hall '-I 4 2'
loop_
_atom_site_label
_atom_site_type_symbol
_atom_site_fract_x
_atom_site_fract_y
_atom_site_fract_z
_atom_site_occupancy
La1 La 0.000 0.000 0.000 1
Nd1 Nd 0.000 0.000 0.500 1
Pu1 Pu 0.000 0.500 0.250 1
Bi1 Bi 0.000 0.000 0.252 1
Bi2 Bi 0.000 0.500 0.000 1
# Energy relative to the elements: -641 meV per atom
# Spin magnetization: 20.5 μB/cell
# Final energy: -0.2711 hartree per atom
# ρ: 9.66 Mg/m³

---

# 19
# PBE La2NdPuBi4, relaxed
data_La2NdPuBi4
_chemical_formula_sum 'La2 Nd1 Pu1 Bi4'
_cell_length_a 8.033
_cell_length_b 4.650
_cell_length_c 8.039
_cell_angle_alpha 90.00
_cell_angle_beta 109.48
_cell_angle_gamma 90.00
_space_group_name_H-M_alt 'P 1 2/m 1'
_space_group_IT_number 10
loop_
_space_group_symop_operation_xyz
'x,y,z'
'-x,-y,-z'
'-x,y,-z'
'x,-y,z'
loop_
_atom_site_label
_atom_site_type_symbol
_atom_site_fract_x
_atom_site_fract_y
_atom_site_fract_z
_atom_site_occupancy
La1 La 0.000 0.000 0.000 1
La2 La 0.000 0.500 0.500 1
Nd1 Nd 0.500 0.000 0.500 1
Pu1 Pu 0.500 0.500 0.000 1
Bi1 Bi 0.256 0.500 0.249 1
Bi2 Bi 0.259 0.000 0.755 1
# Energy relative to the elements: -836 meV per atom
# Spin magnetization: 5.0 μB/cell
# Final energy: -0.2350 hartree per atom
# ρ: 8.81 Mg/m³

---

# 20
# PBE LaNdBiS, relaxed
data_LaNdBiS
_chemical_formula_sum 'La6 Nd6 Bi6 S6'
_cell_length_a 5.2138
_cell_length_b 5.2138
_cell_length_c 33.6119
_cell_angle_alpha 90.00
_cell_angle_beta 90.00
_cell_angle_gamma 120.00
_space_group_name_H-M_alt 'R -3 m'
_space_group_IT_number 166
_space_group_name_Hall '-R 3 2"'
loop_
_atom_site_label
_atom_site_type_symbol
_atom_site_fract_x
_atom_site_fract_y
_atom_site_fract_z
_atom_site_occupancy
La1 La 0.0000 0.0000 0.1216 1
Nd1 Nd 0.0000 0.0000 0.2942 1
Bi1 Bi 0.0000 0.0000 0.3947 1
S1 S 0.0000 0.0000 0.2048 1
# Spin magnetization: 0.0 μB/cell
# Final energy: -0.2097 hartree per atom
# ρ: 6.60 Mg/m³